No. 1
A plane-wave DFT calculation with PBE was carried out for a geometry-optimized Nd3AlGa2Pt9 structure.

Summary:
Spin magnetization (μB per atom): 0.0000
DFT total energy (eV per atom): -6.008
Energy of formation from the pure elements (eV/f.u.): -11.657
SG: No. 164
Calculated volume (A^3/atom): 21.563

The structure in CIF format:
```
data_Nd3AlGa2Pt9
_cell_length_a 5.691
_cell_length_b 5.691
_cell_length_c 11.532
_cell_angle_alpha 90.00
_cell_angle_beta 90.00
_cell_angle_gamma 120.00
_symmetry_space_group_name_H-M 'P 1'
_symmetry_Int_Tables_number 1
loop_
_symmetry_equiv_pos_as_xyz
'x,y,z'
loop_
_atom_site_label
_atom_site_type_symbol
_atom_site_fract_x
_atom_site_fract_y
_atom_site_fract_z
_atom_site_occupancy
Pt1 Pt 0.000 0.500 0.000 1
Pt2 Pt 0.336 0.168 0.661 1
Pt3 Pt 0.500 0.500 0.000 1
Pt4 Pt 0.500 0.000 0.000 1
Pt5 Pt 0.832 0.664 0.661 1
Pt6 Pt 0.168 0.832 0.339 1
Pt7 Pt 0.832 0.168 0.661 1
Pt8 Pt 0.168 0.336 0.339 1
Pt9 Pt 0.664 0.832 0.339 1
Ga1 Ga 0.667 0.333 0.831 1
Ga2 Ga 0.333 0.667 0.169 1
Nd1 Nd 0.000 0.000 0.000 1
Nd2 Nd 0.333 0.667 0.751 1
Nd3 Nd 0.667 0.333 0.249 1
Al1 Al 0.000 0.000 0.500 1
```

No. 2
A plane-wave DFT calculation with PBE was carried out for a geometry-optimized AgSbI2O structure.

Summary:
Spin magnetization (μB per atom): 0.0000
DFT total energy (eV per atom): -3.178
Relative energy among the computed polymorphs (meV/atom): 0
SG: No. 123
Calculated volume (A^3/atom): 30.814

The structure in CIF format:
```
data_AgSbI2O
_cell_length_a 6.135
_cell_length_b 4.094
_cell_length_c 6.135
_cell_angle_alpha 90.00
_cell_angle_beta 90.00
_cell_angle_gamma 90.00
_symmetry_space_group_name_H-M 'P 1'
_symmetry_Int_Tables_number 1
loop_
_symmetry_equiv_pos_as_xyz
'x,y,z'
loop_
_atom_site_label
_atom_site_type_symbol
_atom_site_fract_x
_atom_site_fract_y
_atom_site_fract_z
_atom_site_occupancy
Sb1 Sb 0.000 0.000 0.000 1
I1 I 0.500 0.000 0.000 1
I2 I 0.000 0.000 0.500 1
O1 O 0.000 0.500 0.000 1
Ag1 Ag 0.500 0.500 0.500 1
```

No. 3
A plane-wave DFT calculation with PBE was carried out for a geometry-optimized Cs4PtF structure.

Summary:
Spin magnetization (μB per atom): 0.0556
DFT total energy (eV per atom): -2.724
SG: No. 11
Calculated volume (A^3/atom): 54.682

The structure in CIF format:
```
data_Cs4PtF
_cell_length_a 6.877
_cell_length_b 8.992
_cell_length_c 11.423
_cell_angle_alpha 90.00
_cell_angle_beta 90.00
_cell_angle_gamma 111.73
_symmetry_space_group_name_H-M 'P 1'
_symmetry_Int_Tables_number 1
loop_
_symmetry_equiv_pos_as_xyz
'x,y,z'
loop_
_atom_site_label
_atom_site_type_symbol
_atom_site_fract_x
_atom_site_fract_y
_atom_site_fract_z
_atom_site_occupancy
F1 F 0.196 0.051 0.250 1
F2 F 0.804 0.949 0.750 1
Cs1 Cs 0.375 0.286 0.430 1
Cs2 Cs 0.625 0.714 0.570 1
Cs3 Cs 0.098 0.701 0.250 1
Cs4 Cs 0.767 0.014 0.250 1
Cs5 Cs 0.625 0.714 0.930 1
Cs6 Cs 0.375 0.286 0.070 1
Cs7 Cs 0.233 0.986 0.750 1
Cs8 Cs 0.902 0.299 0.750 1
Pt1 Pt 0.442 0.383 0.750 1
Pt2 Pt 0.558 0.617 0.250 1
```

No. 4
A plane-wave DFT calculation with PBE was carried out for a geometry-optimized La2CeAlO structure.

Summary:
Spin magnetization (μB per atom): 0.2151
DFT total energy (eV per atom): -6.188
SG: No. 123
Calculated volume (A^3/atom): 24.693

The structure in CIF format:
```
data_La2CeAlO
_cell_length_a 4.873
_cell_length_b 5.034
_cell_length_c 5.034
_cell_angle_alpha 90.00
_cell_angle_beta 90.00
_cell_angle_gamma 90.00
_symmetry_space_group_name_H-M 'P 1'
_symmetry_Int_Tables_number 1
loop_
_symmetry_equiv_pos_as_xyz
'x,y,z'
loop_
_atom_site_label
_atom_site_type_symbol
_atom_site_fract_x
_atom_site_fract_y
_atom_site_fract_z
_atom_site_occupancy
O1 O 0.000 0.000 0.000 1
La1 La 0.000 0.500 0.000 1
La2 La 0.000 0.000 0.500 1
Ce1 Ce 0.500 0.000 0.000 1
Al1 Al 0.500 0.500 0.500 1
```

No. 5
A plane-wave DFT calculation with PBE was carried out for a geometry-optimized NaNbH3 structure.

Summary:
Spin magnetization (μB per atom): 0.3238
DFT total energy (eV per atom): -4.194
Relative energy among the computed polymorphs (meV/atom): 0
SG: No. 221
Calculated volume (A^3/atom): 11.010

The structure in CIF format:
```
data_NaNbH3
_cell_length_a 3.804
_cell_length_b 3.804
_cell_length_c 3.804
_cell_angle_alpha 90.00
_cell_angle_beta 90.00
_cell_angle_gamma 90.00
_symmetry_space_group_name_H-M 'P 1'
_symmetry_Int_Tables_number 1
loop_
_symmetry_equiv_pos_as_xyz
'x,y,z'
loop_
_atom_site_label
_atom_site_type_symbol
_atom_site_fract_x
_atom_site_fract_y
_atom_site_fract_z
_atom_site_occupancy
H1 H 0.000 0.000 0.500 1
H2 H 0.500 0.000 0.000 1
H3 H 0.000 0.500 0.000 1
Na1 Na 0.500 0.500 0.500 1
Nb1 Nb 0.000 0.000 0.000 1
```

No. 6
A plane-wave DFT calculation with PBE was carried out for a geometry-optimized Np2MnNi3As4 structure.

Summary:
Spin magnetization (μB per atom): 1.1288
DFT total energy (eV per atom): -7.531
Energy of formation from the pure elements (eV/f.u.): -4.315
SG: No. 115
Calculated volume (A^3/atom): 16.628

The structure in CIF format:
```
data_Np2MnNi3As4
_cell_length_a 4.174
_cell_length_b 4.174
_cell_length_c 9.543
_cell_angle_alpha 90.00
_cell_angle_beta 90.00
_cell_angle_gamma 90.00
_symmetry_space_group_name_H-M 'P 1'
_symmetry_Int_Tables_number 1
loop_
_symmetry_equiv_pos_as_xyz
'x,y,z'
loop_
_atom_site_label
_atom_site_type_symbol
_atom_site_fract_x
_atom_site_fract_y
_atom_site_fract_z
_atom_site_occupancy
Ni1 Ni 0.500 0.000 0.884 1
Ni2 Ni 0.000 0.000 0.500 1
Ni3 Ni 0.000 0.500 0.116 1
Np1 Np 0.500 0.000 0.240 1
Np2 Np 0.000 0.500 0.760 1
As1 As 0.500 0.000 0.639 1
As2 As 0.000 0.500 0.361 1
As3 As 0.000 0.000 0.000 1
As4 As 0.500 0.500 0.000 1
Mn1 Mn 0.500 0.500 0.500 1
```